Material: PmLu2Ga
Method: DFT, PBE
State: optimized geometry

Geometry as POSCAR:
```
PmLu2Ga
1.0
4.710 0.000 0.000
0.000 4.710 0.000
0.000 0.000 4.686
Pm Lu Ga
1 2 1
Direct
0.000 0.000 0.000
0.000 0.500 0.500
0.500 0.000 0.500
0.500 0.500 0.000
```

Material: Pm2LuGa
Method: DFT, PBE
State: optimized geometry

Geometry as POSCAR:
```
Pm2LuGa
1.0
0.000 3.800 3.800
3.800 0.000 3.800
3.800 3.800 0.000
Pm Lu Ga
2 1 1
Direct
0.250 0.250 0.250
0.750 0.750 0.750
0.000 0.000 0.000
0.500 0.500 0.500
```

Material: PmLu2Ga
Method: DFT, PBE
State: optimized geometry

Geometry as POSCAR:
```
PmLu2Ga
1.0
3.489 0.000 0.000
0.000 3.489 0.000
0.000 0.000 8.796
Pm Lu Ga
1 2 1
Direct
0.000 0.000 0.000
0.500 0.500 0.295
0.500 0.500 0.705
0.000 0.000 0.500
```

Material: Pm2LuGa
Method: DFT, PBE
State: optimized geometry

Geometry as POSCAR:
```
Pm2LuGa
1.0
4.754 0.000 0.000
0.000 4.754 0.000
0.000 0.000 4.804
Pm Lu Ga
2 1 1
Direct
0.000 0.500 0.000
0.500 0.000 0.000
0.000 0.000 0.500
0.500 0.500 0.500
```

Material: PmLuGa4
Method: DFT, PBE
State: optimized geometry

Geometry as POSCAR:
```
PmLuGa4
1.0
0.000 3.910 3.910
3.910 0.000 3.910
3.910 3.910 0.000
Pm Lu Ga
1 1 4
Direct
0.000 0.000 0.000
0.750 0.750 0.750
0.375 0.375 0.375
0.375 0.375 0.875
0.375 0.875 0.375
0.875 0.375 0.375
```

Material: PmPrLuGa
Method: DFT, PBE
State: optimized geometry

Geometry as POSCAR:
```
PmPrLuGa
1.0
0.000 3.823 3.823
3.823 0.000 3.823
3.823 3.823 0.000
Pm Pr Lu Ga
1 1 1 1
Direct
0.000 0.000 0.000
0.500 0.500 0.500
0.750 0.750 0.750
0.250 0.250 0.250
```

Calculated E, -17.735; -17.528; -17.991; -17.981; -24.502; -17.548 eV for the cell shown (same order as the records).
Calculated E_form, -229; -120; -293; -233; -521; -118 meV/atom (same order as the records).